No. 1
# La2TeAu

A relaxed La2TeAu crystal (PBE, Alexandria via LeMat-Bulk).

The space group is I-42d (No. 122) and the conventional cell measures 8.2527, 8.2527 and 7.7920 Å, with angles of 90.00, 90.00 and 90.00 degrees. The asymmetric unit holds La at (0.2280, 0.2500, 0.1250), Te at (0.0000, 0.0000, 0.5000) and Au at (0.0000, 0.0000, 0.0000).

The total moment comes out at 0.000 μB per cell. The raw formation energy is -343 kJ/mol of formula units. The total energy comes out at -4.96 eV per atom. The value obtained for the calculated density is 7.5 Mg/m³. The value obtained for the volume is 33.168 Å³/atom.

---

No. 2
# LaTe2Au

A relaxed LaTe2Au crystal (PBE, Alexandria via LeMat-Bulk).

The space group is I4/mmm (No. 139) and the conventional cell measures 4.6467, 4.6467 and 10.1676 Å, with angles of 90.00, 90.00 and 90.00 degrees. The asymmetric unit holds La at (0.0000, 0.0000, 0.0000), Te at (0.0000, 0.5000, 0.2500) and Au at (0.0000, 0.0000, 0.5000).

The total moment comes out at 0.000 μB per cell. The raw formation energy is -285 kJ/mol of formula units. The total energy comes out at -4.36 eV per atom. The value obtained for the calculated density is 8.9 Mg/m³. The value obtained for the volume is 27.443 Å³/atom.

---

No. 3
# LaTe2Au

A relaxed LaTe2Au crystal (PBE, Alexandria via LeMat-Bulk).

The space group is I-4m2 (No. 119) and the conventional cell measures 4.4451, 4.4451 and 11.1594 Å, with angles of 90.00, 90.00 and 90.00 degrees. The asymmetric unit holds La at (0.0000, 0.0000, 0.0000), Te at (0.0000, 0.0000, 0.5000), Te at (0.0000, 0.5000, 0.7500) and Au at (0.0000, 0.5000, 0.2500).

The total moment comes out at 0.000 μB per cell. The raw formation energy is -307 kJ/mol of formula units. The total energy comes out at -4.42 eV per atom. The value obtained for the calculated density is 8.9 Mg/m³. The value obtained for the volume is 27.563 Å³/atom.

---

No. 4
# La5Te4Au

A relaxed La5Te4Au crystal (PBE, Alexandria via LeMat-Bulk).

The space group is I4/m (No. 87) and the conventional cell measures 10.1505, 10.1505 and 6.4689 Å, with angles of 90.00, 90.00 and 90.00 degrees. The asymmetric unit holds La at (0.0000, 0.0000, 0.0000), La at (0.0995, 0.2899, 0.5000), Te at (0.0943, 0.3035, 0.0000) and Au at (0.0000, 0.0000, 0.5000).

The total moment comes out at 0.000 μB per cell. The raw formation energy is -1380 kJ/mol of formula units. The total energy comes out at -5.48 eV per atom. The value obtained for the calculated density is 7.0 Mg/m³. The value obtained for the volume is 33.325 Å³/atom.

---

No. 5
# LaTe2Au

A relaxed LaTe2Au crystal (PBE, Alexandria via LeMat-Bulk).

The space group is F-43m (No. 216) and the conventional cell measures 7.6333, 7.6333 and 7.6333 Å, with angles of 90.00, 90.00 and 90.00 degrees. The asymmetric unit holds La at (0.0000, 0.0000, 0.0000), Te at (0.0000, 0.0000, 0.5000), Te at (0.2500, 0.2500, 0.7500) and Au at (0.2500, 0.2500, 0.2500).

The total moment comes out at 0.000 μB per cell. The raw formation energy is -247 kJ/mol of formula units. The total energy comes out at -4.26 eV per atom. The value obtained for the calculated density is 8.8 Mg/m³. The value obtained for the volume is 27.798 Å³/atom.

---

No. 6
# La2TeAu2

A relaxed La2TeAu2 crystal (PBE, Alexandria via LeMat-Bulk).

The space group is P4/mbm (No. 127) and the conventional cell measures 8.2918, 8.2918 and 4.0402 Å, with angles of 90.00, 90.00 and 90.00 degrees. The asymmetric unit holds La at (0.1746, 0.3254, 0.0000), Te at (0.0000, 0.0000, 0.5000) and Au at (0.1223, 0.6223, 0.5000).

Its distance to the lowest polymorph of the same formula is 0.000 eV per atom. The total moment comes out at 0.000 μB per cell. The raw formation energy is -467 kJ/mol of formula units. The total energy comes out at -4.88 eV per atom. The value obtained for the calculated density is 9.6 Mg/m³. The value obtained for the volume is 27.778 Å³/atom.

---

> What is the calculated density in the fifth record?

8.8 Mg/m³

---

> volume of number 6 (La2TeAu2)?

27.778 Å³/atom

---

> Number 4 is which compound?

La5Te4Au